## AcTh2Zn2Sn2 (PBE-GGA)

Data for an optimized crystal structure of AcTh2Zn2Sn2.

The structure in CIF format:
```
data_AcTh2Zn2Sn2
_chemical_formula_sum 'Ac3 Th6 Zn6 Sn6'
_cell_length_a 4.4141
_cell_length_b 4.4141
_cell_length_c 36.6596
_cell_angle_alpha 90.00
_cell_angle_beta 90.00
_cell_angle_gamma 120.00
_symmetry_space_group_name_H-M 'R -3 m'
_symmetry_Int_Tables_number 166
_symmetry_space_group_name_Hall '-R 3 2"'
loop_
_atom_site_label
_atom_site_type_symbol
_atom_site_fract_x
_atom_site_fract_y
_atom_site_fract_z
Ac1 Ac 0.0000 0.0000 0.0000
Th1 Th 0.0000 0.0000 0.1270
Zn1 Zn 0.0000 0.0000 0.4134
Sn1 Sn 0.0000 0.0000 0.2708
```

The calculation puts the total energy at -4.455 eV/atom. The density of states at the Fermi level is 7.4 states/eV/f.u. As for the energy of formation: -0.2401 eV per atom.